Record 1
# PBE-GGA Rb2Ta3NbO12, relaxed
data_Rb2Ta3NbO12
_cell_length_a 7.516
_cell_length_b 7.516
_cell_length_c 7.516
_cell_angle_alpha 59.86
_cell_angle_beta 59.86
_cell_angle_gamma 59.86
_space_group_name_H-M_alt 'P 1'
_space_group_IT_number 1
loop_
_space_group_symop_operation_xyz
'x,y,z'
loop_
_atom_site_label
_atom_site_fract_x
_atom_site_fract_y
_atom_site_fract_z
Rb1 0.624 0.624 0.624
Rb2 0.376 0.376 0.376
Ta1 0.500 0.000 0.000
Ta2 0.000 0.500 0.000
Ta3 0.000 0.000 0.500
Nb1 0.000 0.000 0.000
O1 0.312 0.312 0.937
O2 0.937 0.937 0.315
O3 0.315 0.937 0.937
O4 0.937 0.312 0.312
O5 0.937 0.315 0.937
O6 0.312 0.937 0.312
O7 0.688 0.688 0.063
O8 0.063 0.063 0.685
O9 0.685 0.063 0.063
O10 0.063 0.688 0.688
O11 0.063 0.685 0.063
O12 0.688 0.063 0.688
# SG ... R-3m (166)
# Raw total energy ... -151.11 eV for the cell shown

=====

Record 2
# PBE-GGA KMn2Ni, relaxed
data_KMn2Ni
_cell_length_a 3.158
_cell_length_b 3.158
_cell_length_c 7.965
_cell_angle_alpha 90.00
_cell_angle_beta 90.00
_cell_angle_gamma 90.00
_space_group_name_H-M_alt 'P 1'
_space_group_IT_number 1
loop_
_space_group_symop_operation_xyz
'x,y,z'
loop_
_atom_site_label
_atom_site_fract_x
_atom_site_fract_y
_atom_site_fract_z
K1 0.500 0.500 0.724
Mn1 0.000 0.000 0.087
Mn2 0.500 0.500 0.283
Ni1 0.000 0.000 0.406
# DFT formation energy ... 0.63 eV per atom
# SG ... P4mm (99)
# Raw total energy ... -22.71 eV for the cell shown
# Relative energy among the computed polymorphs ... 0.24 eV per formula unit

=====

Record 3
# PBE-GGA SrNiH2W, relaxed
data_SrNiH2W
_cell_length_a 4.123
_cell_length_b 5.319
_cell_length_c 4.123
_cell_angle_alpha 90.00
_cell_angle_beta 90.00
_cell_angle_gamma 90.00
_space_group_name_H-M_alt 'P 1'
_space_group_IT_number 1
loop_
_space_group_symop_operation_xyz
'x,y,z'
loop_
_atom_site_label
_atom_site_fract_x
_atom_site_fract_y
_atom_site_fract_z
Sr1 0.000 0.500 0.000
H1 0.000 0.000 0.500
H2 0.500 0.000 0.000
W1 0.500 0.500 0.500
Ni1 0.000 0.000 0.000
# SG ... P4/mmm (123)
# Raw total energy ... -18.10 eV for the cell shown

=====

Record 4
# PBE-GGA Ge2PdS, relaxed
data_Ge2PdS
_cell_length_a 5.893
_cell_length_b 5.893
_cell_length_c 6.727
_cell_angle_alpha 64.02
_cell_angle_beta 64.02
_cell_angle_gamma 90.00
_space_group_name_H-M_alt 'P 1'
_space_group_IT_number 1
loop_
_space_group_symop_operation_xyz
'x,y,z'
loop_
_atom_site_label
_atom_site_fract_x
_atom_site_fract_y
_atom_site_fract_z
Ge1 0.637 0.125 0.250
Ge2 0.113 0.625 0.250
Ge3 0.375 0.363 0.750
Ge4 0.875 0.887 0.750
S1 0.500 0.500 0.000
S2 0.250 0.750 0.500
Pd1 0.000 0.000 0.000
Pd2 0.750 0.250 0.500
# SG ... I-42d (122)
# Raw total energy ... -37.71 eV for the cell shown